# NbAs3Br

Crystalline NbAs3Br at its relaxed geometry (PBE, the Alexandria database).

a b c (Å): 5.0184 5.0184 5.0184
angles (deg): 90.00 90.00 90.00
Last column: nearest neighbours and their distance in Å.
Element x y z (fractional)
As  0.5000  0.0000  0.0000  2 Nb 2.51
As  0.0000  0.5000  0.0000  2 Nb 2.51
As  0.0000  0.0000  0.5000  2 Nb 2.51
Br  0.5000  0.5000  0.5000  12 As 3.55
Nb  0.0000  0.0000  0.0000  6 As 2.51

## Properties
Spin magnetization = 0.000 Bohr magnetons per cell
Space group = Pm-3m, No. 221
Energy = -4.94 eV per atom
Raw formation energy = 1.01 eV per formula unit